Run a
# PBE LaHoNO, optimized geometry
data_LaHoNO
_cell_length_a 4.797
_cell_length_b 4.797
_cell_length_c 5.971
_cell_angle_alpha 90.00
_cell_angle_beta 90.00
_cell_angle_gamma 90.00
_space_group_name_H-M_alt 'P 4/n m m'
_space_group_IT_number 129
loop_
_space_group_symop_operation_xyz
'x,y,z'
'-x,-y,-z'
'-y+1/2,x,z'
'y+1/2,-x,-z'
'-x+1/2,-y+1/2,z'
'x+1/2,y+1/2,-z'
'y,-x+1/2,z'
'-y,x+1/2,-z'
'x+1/2,-y,-z'
'-x+1/2,y,z'
'-y,-x,-z'
'y,x,z'
'-x,y+1/2,-z'
'x,-y+1/2,z'
'y+1/2,x+1/2,-z'
'-y+1/2,-x+1/2,z'
loop_
_atom_site_label
_atom_site_type_symbol
_atom_site_fract_x
_atom_site_fract_y
_atom_site_fract_z
La1 La 0.250 0.750 0.000
Ho1 Ho 0.250 0.250 0.471
N1 N 0.250 0.250 0.116
O1 O 0.250 0.750 0.500
# Calculated density ... 8.07 g/cm³



Run b
# PBE LaHoNO, optimized geometry
data_LaHoNO
_cell_length_a 3.950
_cell_length_b 6.845
_cell_length_c 5.753
_cell_angle_alpha 90.00
_cell_angle_beta 90.00
_cell_angle_gamma 90.00
_space_group_name_H-M_alt 'P m c 21'
_space_group_IT_number 26
loop_
_space_group_symop_operation_xyz
'x,y,z'
'-x,-y,z+1/2'
'-x,y,z'
'x,-y,z+1/2'
loop_
_atom_site_label
_atom_site_type_symbol
_atom_site_fract_x
_atom_site_fract_y
_atom_site_fract_z
La1 La 0.000 0.154 0.000
Ho1 Ho 0.500 0.326 0.515
N1 N 0.000 0.195 0.421
O1 O 0.500 0.368 0.898
# Calculated density ... 7.13 g/cm³



The winner here is run b, beating the second structure by 35 meV/atom.



Run a
# PBE ZrPPtO, optimized geometry
data_ZrPPtO
_cell_length_a 3.512
_cell_length_b 6.454
_cell_length_c 6.566
_cell_angle_alpha 90.00
_cell_angle_beta 90.00
_cell_angle_gamma 90.00
_space_group_name_H-M_alt 'P m c 21'
_space_group_IT_number 26
loop_
_space_group_symop_operation_xyz
'x,y,z'
'-x,-y,z+1/2'
'-x,y,z'
'x,-y,z+1/2'
loop_
_atom_site_label
_atom_site_type_symbol
_atom_site_fract_x
_atom_site_fract_y
_atom_site_fract_z
Zr1 Zr 0.000 0.137 0.000
P1 P 0.000 0.255 0.387
Pt1 Pt 0.500 0.231 0.612
O1 O 0.500 0.283 0.948
# Calculated density ... 7.44 g/cm³



Run b
# PBE ZrPPtO, optimized geometry
data_ZrPPtO
_cell_length_a 3.775
_cell_length_b 3.775
_cell_length_c 7.959
_cell_angle_alpha 90.00
_cell_angle_beta 90.00
_cell_angle_gamma 90.00
_space_group_name_H-M_alt 'P 4/n m m'
_space_group_IT_number 129
loop_
_space_group_symop_operation_xyz
'x,y,z'
'-x,-y,-z'
'-y+1/2,x,z'
'y+1/2,-x,-z'
'-x+1/2,-y+1/2,z'
'x+1/2,y+1/2,-z'
'y,-x+1/2,z'
'-y,x+1/2,-z'
'x+1/2,-y,-z'
'-x+1/2,y,z'
'-y,-x,-z'
'y,x,z'
'-x,y+1/2,-z'
'x,-y+1/2,z'
'y+1/2,x+1/2,-z'
'-y+1/2,-x+1/2,z'
loop_
_atom_site_label
_atom_site_type_symbol
_atom_site_fract_x
_atom_site_fract_y
_atom_site_fract_z
Zr1 Zr 0.250 0.250 0.155
P1 P 0.250 0.250 0.705
Pt1 Pt 0.250 0.750 0.500
O1 O 0.250 0.750 0.000
# Calculated density ... 9.76 g/cm³



The winner here is run b, beating the second structure by 209 meV/atom.



Run a
# PBE BeInCoGe, optimized geometry
data_BeInCoGe
_cell_length_a 6.127
_cell_length_b 6.127
_cell_length_c 6.127
_cell_angle_alpha 90.00
_cell_angle_beta 90.00
_cell_angle_gamma 90.00
_space_group_name_H-M_alt 'F -4 3 m'
_space_group_IT_number 216
_space_group_name_Hall 'F -4 2 3'
loop_
_atom_site_label
_atom_site_type_symbol
_atom_site_fract_x
_atom_site_fract_y
_atom_site_fract_z
Be1 Be 0.000 0.000 0.000
In1 In 0.250 0.250 0.750
Co1 Co 0.000 0.000 0.500
Ge1 Ge 0.250 0.250 0.250
# Calculated density ... 7.38 g/cm³



Run b
# PBE BeInCoGe, optimized geometry
data_BeInCoGe
_cell_length_a 6.182
_cell_length_b 6.182
_cell_length_c 6.182
_cell_angle_alpha 90.00
_cell_angle_beta 90.00
_cell_angle_gamma 90.00
_space_group_name_H-M_alt 'F -4 3 m'
_space_group_IT_number 216
_space_group_name_Hall 'F -4 2 3'
loop_
_atom_site_label
_atom_site_type_symbol
_atom_site_fract_x
_atom_site_fract_y
_atom_site_fract_z
Be1 Be 0.000 0.000 0.000
In1 In 0.250 0.250 0.750
Co1 Co 0.250 0.250 0.250
Ge1 Ge 0.000 0.000 0.500
# Calculated density ... 7.18 g/cm³



The winner here is run a, beating the second structure by 125 meV/atom.



Run a
# PBE ScCdGaFe, optimized geometry
data_ScCdGaFe
_cell_length_a 6.489
_cell_length_b 6.489
_cell_length_c 6.489
_cell_angle_alpha 90.00
_cell_angle_beta 90.00
_cell_angle_gamma 90.00
_space_group_name_H-M_alt 'F -4 3 m'
_space_group_IT_number 216
_space_group_name_Hall 'F -4 2 3'
loop_
_atom_site_label
_atom_site_type_symbol
_atom_site_fract_x
_atom_site_fract_y
_atom_site_fract_z
Sc1 Sc 0.000 0.000 0.000
Cd1 Cd 0.250 0.250 0.250
Ga1 Ga 0.000 0.000 0.500
Fe1 Fe 0.250 0.250 0.750
# Calculated density ... 6.88 g/cm³



Run b
# PBE ScCdGaFe, optimized geometry
data_ScCdGaFe
_cell_length_a 6.487
_cell_length_b 6.487
_cell_length_c 6.487
_cell_angle_alpha 90.00
_cell_angle_beta 90.00
_cell_angle_gamma 90.00
_space_group_name_H-M_alt 'F -4 3 m'
_space_group_IT_number 216
_space_group_name_Hall 'F -4 2 3'
loop_
_atom_site_label
_atom_site_type_symbol
_atom_site_fract_x
_atom_site_fract_y
_atom_site_fract_z
Sc1 Sc 0.000 0.000 0.000
Cd1 Cd 0.250 0.250 0.750
Ga1 Ga 0.250 0.250 0.250
Fe1 Fe 0.000 0.000 0.500
# Calculated density ... 6.88 g/cm³



The winner here is run b, beating the second structure by 87 meV/atom.



Run a
# PBE Cu2Ag, optimized geometry
data_Cu2Ag
_cell_length_a 2.744
_cell_length_b 2.744
_cell_length_c 11.016
_cell_angle_alpha 90.00
_cell_angle_beta 90.00
_cell_angle_gamma 90.00
_space_group_name_H-M_alt 'P 4/n m m'
_space_group_IT_number 129
loop_
_space_group_symop_operation_xyz
'x,y,z'
'-x,-y,-z'
'-y+1/2,x,z'
'y+1/2,-x,-z'
'-x+1/2,-y+1/2,z'
'x+1/2,y+1/2,-z'
'y,-x+1/2,z'
'-y,x+1/2,-z'
'x+1/2,-y,-z'
'-x+1/2,y,z'
'-y,-x,-z'
'y,x,z'
'-x,y+1/2,-z'
'x,-y+1/2,z'
'y+1/2,x+1/2,-z'
'-y+1/2,-x+1/2,z'
loop_
_atom_site_label
_atom_site_type_symbol
_atom_site_fract_x
_atom_site_fract_y
_atom_site_fract_z
Cu1 Cu 0.250 0.250 0.074
Cu2 Cu 0.250 0.250 0.779
Ag1 Ag 0.250 0.250 0.398
# Calculated density ... 9.41 g/cm³



Run b
# PBE Cu2Ag, optimized geometry
data_Cu2Ag
_cell_length_a 2.739
_cell_length_b 8.080
_cell_length_c 11.350
_cell_angle_alpha 90.00
_cell_angle_beta 90.00
_cell_angle_gamma 90.00
_space_group_name_H-M_alt 'I m m 2'
_space_group_IT_number 44
loop_
_space_group_symop_operation_xyz
'x,y,z'
'-x,-y,z'
'-x,y,z'
'x,-y,z'
'x+1/2,y+1/2,z+1/2'
'-x+1/2,-y+1/2,z+1/2'
'-x+1/2,y+1/2,z+1/2'
'x+1/2,-y+1/2,z+1/2'
loop_
_atom_site_label
_atom_site_type_symbol
_atom_site_fract_x
_atom_site_fract_y
_atom_site_fract_z
Cu1 Cu 0.000 0.000 0.000
Cu2 Cu 0.000 0.000 0.323
Cu3 Cu 0.000 0.333 0.990
Cu4 Cu 0.000 0.344 0.652
Ag1 Ag 0.000 0.000 0.647
Ag2 Ag 0.000 0.324 0.328
# Calculated density ... 9.32 g/cm³



Run c
# PBE Cu2Ag, optimized geometry
data_Cu2Ag
_cell_length_a 2.762
_cell_length_b 2.762
_cell_length_c 32.683
_cell_angle_alpha 90.00
_cell_angle_beta 90.00
_cell_angle_gamma 90.00
_space_group_name_H-M_alt 'I 4 m m'
_space_group_IT_number 107
_space_group_name_Hall 'I 4 -2'
loop_
_atom_site_label
_atom_site_type_symbol
_atom_site_fract_x
_atom_site_fract_y
_atom_site_fract_z
Cu1 Cu 0.000 0.000 0.000
Cu2 Cu 0.000 0.000 0.097
Cu3 Cu 0.000 0.000 0.333
Cu4 Cu 0.000 0.000 0.451
Cu5 Cu 0.000 0.000 0.549
Cu6 Cu 0.000 0.000 0.784
Ag1 Ag 0.000 0.000 0.225
Ag2 Ag 0.000 0.000 0.657
Ag3 Ag 0.000 0.000 0.892
# Calculated density ... 9.39 g/cm³



The winner here is run a, beating the second structure by 5 meV/atom.



Run a
# PBE NaNbAsO, optimized geometry
data_NaNbAsO
_cell_length_a 3.810
_cell_length_b 6.920
_cell_length_c 5.325
_cell_angle_alpha 90.00
_cell_angle_beta 90.00
_cell_angle_gamma 90.00
_space_group_name_H-M_alt 'P m c 21'
_space_group_IT_number 26
loop_
_space_group_symop_operation_xyz
'x,y,z'
'-x,-y,z+1/2'
'-x,y,z'
'x,-y,z+1/2'
loop_
_atom_site_label
_atom_site_type_symbol
_atom_site_fract_x
_atom_site_fract_y
_atom_site_fract_z
Na1 Na 0.000 0.003 0.000
Nb1 Nb 0.500 0.358 0.255
As1 As 0.500 0.279 0.754
O1 O 0.000 0.271 0.255
# Calculated density ... 4.89 g/cm³



Run b
# PBE NaNbAsO, optimized geometry
data_NaNbAsO
_cell_length_a 4.264
_cell_length_b 4.264
_cell_length_c 7.780
_cell_angle_alpha 90.00
_cell_angle_beta 90.00
_cell_angle_gamma 90.00
_space_group_name_H-M_alt 'P 4/n m m'
_space_group_IT_number 129
loop_
_space_group_symop_operation_xyz
'x,y,z'
'-x,-y,-z'
'-y+1/2,x,z'
'y+1/2,-x,-z'
'-x+1/2,-y+1/2,z'
'x+1/2,y+1/2,-z'
'y,-x+1/2,z'
'-y,x+1/2,-z'
'x+1/2,-y,-z'
'-x+1/2,y,z'
'-y,-x,-z'
'y,x,z'
'-x,y+1/2,-z'
'x,-y+1/2,z'
'y+1/2,x+1/2,-z'
'-y+1/2,-x+1/2,z'
loop_
_atom_site_label
_atom_site_type_symbol
_atom_site_fract_x
_atom_site_fract_y
_atom_site_fract_z
Na1 Na 0.250 0.250 0.101
Nb1 Nb 0.250 0.750 0.500
As1 As 0.250 0.250 0.690
O1 O 0.250 0.750 0.000
# Calculated density ... 4.85 g/cm³



The winner here is run a, beating the second structure by 820 meV/atom.